Here is a geometry-optimized ErCdInPd structure from the Alexandria database. Energies are from PBE-GGA.

Output
size of the total moment	0.0	μB per cell
V	20.95	Å³ per atom
symmetry	No. 216
calculated density	9.9	Mg/m³
ΔE_f	-0.525	eV per atom

Cell: 4.9117 4.9117 4.9117 Å, 60.00 60.00 60.00°
Atoms (fractional coordinates):
Er1 0.0000 0.0000 0.0000
Cd1 0.2500 0.2500 0.2500
In1 0.5000 0.5000 0.5000
Pd1 0.7500 0.7500 0.7500